VASP calculation (SCAN) on HfInMoF2 at its PBEsol-relaxed geometry.

Unit cell a=4.0984 b=4.0984 c=5.2951 alpha=90.00 beta=90.00 gamma=90.00
Atoms (fractional coordinates):
Mo  0.0000  0.0000  0.0000
F  0.0000  0.5000  0.0000
F  0.5000  0.0000  0.0000
Hf  0.0000  0.0000  0.5000
In  0.5000  0.5000  0.5000

Values from the calculation:
E, eV per atom: -28.318
Formation energy without anion corrections, kJ/mol of atoms: -69

***

VASP calculation (SCAN) on HfInOF2 at its PBEsol-relaxed geometry.

Unit cell a=4.0348 b=4.3302 c=4.3302 alpha=90.00 beta=90.00 gamma=90.00
Each line ends with the local moment (μB).
Atoms (fractional coordinates):
F  0.0000  0.0000  0.5000  0.02
F  0.0000  0.5000  0.0000  0.02
Hf  0.0000  0.0000  0.0000  0.40
O  0.5000  0.0000  0.0000  -0.01
In  0.5000  0.5000  0.5000  0.05

Values from the calculation:
E, eV per atom: -24.406
Formation energy without anion corrections, kJ/mol of atoms: -244

***

VASP calculation (SCAN) on Hf3IrF at its PBEsol-relaxed geometry.

Unit cell a=4.3422 b=4.3422 c=4.3422 alpha=90.00 beta=90.00 gamma=90.00
Atoms (fractional coordinates):
Ir  0.5000  0.5000  0.5000
Hf  0.0000  0.5000  0.0000
Hf  0.0000  0.0000  0.5000
Hf  0.5000  0.0000  0.0000
F  0.0000  0.0000  0.0000

Values from the calculation:
E, eV per atom: -53.247
Formation energy without anion corrections, kJ/mol of atoms: -69

***

VASP calculation (SCAN) on Hf2IrF at its PBEsol-relaxed geometry.

Unit cell a=4.5118 b=4.5118 c=4.5118 alpha=60.00 beta=60.00 gamma=60.00
Atoms (fractional coordinates):
Ir  0.5000  0.5000  0.5000
Hf  0.2500  0.2500  0.2500
Hf  0.7500  0.7500  0.7500
F  0.0000  0.0000  0.0000

Values from the calculation:
E, eV per atom: -51.235
Formation energy without anion corrections, kJ/mol of atoms: -119